[1]
Entry from Alexandria via LeMat-Bulk: an optimized crystal structure of NaCoBP2H2O9 (PBE with a Hubbard U).

Geometry as extended XYZ:
```
64
Lattice="-5.7016 0.2198 -3.2782 -1.7242 -4.4966 8.4675 -2.4142 10.1086 4.8765" Properties=species:S:1:pos:R:3 pbc="T T T"
Na -7.7496 5.1292 4.1074
Na -8.9142 4.1475 8.9521
Na -2.0904 0.7026 5.9585
Na -0.9258 1.6843 1.1137
Co -3.3838 -1.8419 4.1944
Co -6.4561 7.6737 5.8715
Co -6.4777 1.9057 8.4073
Co -3.3623 3.9261 1.6585
B -4.5410 -0.0685 -0.8979
B -6.3944 1.8337 5.3381
B -3.4456 3.9981 4.7278
B -5.2989 5.9003 10.9638
P -5.6174 4.3826 6.3277
P -3.2512 8.0678 6.9993
P -3.2087 2.0319 9.4059
P -6.5888 -2.2360 3.0665
P -4.7137 -2.3521 7.2226
P -6.6312 3.7999 0.6600
P -5.1262 8.1839 2.8432
P -4.2225 1.4492 3.7381
H -5.9697 -1.6588 5.1174
H -4.3532 3.6547 8.4163
H -5.4867 2.1772 1.6495
H -5.7504 5.5508 8.9744
H -5.4980 0.3203 6.4288
H -3.8703 7.4906 4.9484
H -4.0896 0.2810 1.0914
H -4.3420 5.5115 3.6371
O -4.0756 4.5152 5.9625
O -7.8550 1.5362 5.1734
O -5.3735 7.4223 1.5677
O -4.3789 1.3733 -1.1877
O -5.2819 4.5284 0.7517
O -4.1493 1.8897 2.2635
O -4.0197 4.5890 3.5163
O -1.5083 3.4403 2.5406
O -5.4611 4.4585 11.2535
O -8.3316 2.3915 7.5253
O -4.5581 1.3034 9.3141
O -5.6906 3.9421 7.8024
O -6.2706 9.2535 2.9202
O -3.5892 2.5196 4.6934
O -6.0121 -0.3223 -1.0415
O -1.7162 -1.5476 5.4527
O -1.9850 4.2957 4.8925
O -5.8198 6.2685 9.6449
O -8.1238 7.3794 4.6131
O -6.2507 3.3122 5.3724
O -3.4872 0.1673 4.0277
O -5.7644 1.3166 4.1033
O -5.8203 1.2428 6.5495
O -5.0926 7.2963 4.1021
O -6.8328 -1.8100 4.5781
O -3.8279 6.1541 11.1074
O -4.0201 -0.4367 0.4210
O -4.7674 8.0379 7.2446
O -3.4141 3.4876 8.8021
O -6.4258 2.3442 1.2637
O -4.4664 -1.5905 8.4981
O -6.3528 5.6645 6.0381
O -4.7473 -1.4645 5.9637
O -3.0072 7.6418 5.4877
O -5.0726 -2.2061 2.8213
O -3.5694 -3.4217 7.1456
```

Computed properties:
DOS at the Fermi energy   0.00 states/eV/f.u.
Total moment   3.0 μB per formula unit
Calculated total energy   -6.64 eV/atom
Symmetry   P2_1/c (14)

---

[2]
Entry from Alexandria via LeMat-Bulk: an optimized crystal structure of CoBPH2O6 (PBE with a Hubbard U).

Geometry as extended XYZ:
```
66
Lattice="-2.7958 -4.9084 -4.9929 6.0269 -1.8489 4.1348 -7.6742 -4.8165 9.0322" Properties=species:S:1:pos:R:3 pbc="T T T"
Co -5.5674 -4.2677 8.0947
Co 1.5083 -6.6320 0.7651
Co -4.2211 -3.0824 3.8304
Co -2.6515 -8.3655 5.3669
Co -0.6632 -1.1643 -1.1843
Co -1.1285 -2.0441 3.9915
B 2.6395 -3.5911 1.0936
B 0.7058 -4.6908 4.9046
B -2.7347 -5.7516 7.4560
B -4.8108 -6.2894 3.8733
B -7.5535 -8.8096 6.2395
B -1.5757 -5.5890 0.9553
P -5.1094 -9.3997 7.4736
P -2.5040 -2.9480 1.0470
P -5.6560 -7.9194 1.7582
P -0.7413 -6.5228 9.2662
P 1.1888 -1.2568 1.6336
P -0.5075 -6.6748 3.3436
H -5.1344 -7.8892 5.1469
H -0.6802 -3.6869 -0.9084
H -3.5024 -6.2104 1.3885
H -3.3808 -7.2159 9.7650
H 0.7935 -3.5053 3.2097
H -1.4251 -6.2138 5.9206
H -4.5823 -6.6308 7.7419
H 2.5309 -5.0594 2.5429
H -0.2913 -4.1968 6.6453
H -7.4720 -7.3886 4.7420
H -0.5203 -6.1008 -0.7455
H -2.9944 -5.3450 3.5957
O -4.3900 -7.4021 4.7209
O -0.3739 -3.1711 -1.6913
O -2.8783 -6.1622 0.6262
O -3.7383 -7.8217 10.4565
O 0.2797 -3.5873 4.0477
O -2.2287 -6.5771 6.3624
O -4.1895 -5.7491 7.5788
O 2.4630 -4.9593 1.5715
O 0.6124 -4.4075 6.3338
O -7.8515 -8.2743 4.9142
O -0.4595 -6.1861 0.2278
O -3.9043 -5.1452 3.8962
O -3.6758 -9.3463 6.9325
O 4.0855 -3.5155 4.5555
O -2.5852 -2.9204 5.2454
O -6.8649 -5.1374 6.5898
O -2.8863 -5.9477 -2.5426
O -1.4026 -7.8542 3.7417
O -5.2633 -8.3680 8.6516
O 2.1031 -5.0973 4.5739
O -2.2504 -4.3471 7.3154
O -6.1825 -5.8380 4.2497
O -0.4187 -5.3807 -2.6899
O -1.3176 -5.6903 2.4216
O -6.0355 -8.8809 6.3173
O -1.5707 -4.1167 0.5706
O -4.8423 -6.7543 2.4247
O -2.2162 -6.3051 8.7753
O 1.5427 -2.7801 1.7682
O -0.2074 -5.8844 4.6661
O 2.1342 -5.9868 -1.1289
O -2.5514 -2.9019 2.5753
O -7.1396 -7.7931 2.1090
O 0.0660 -5.2348 9.0950
O -6.6399 -5.6970 9.1912
O 0.8014 -7.1078 2.6807
```

Computed properties:
DOS at the Fermi energy   0.00 states/eV/f.u.
Total moment   3.0 μB per formula unit
Calculated total energy   -6.65 eV/atom
Symmetry   P3_121 (152)